1.
InPWCl2: PBEsol geometry, meta-GGA SCAN.

abc: 4.805 4.805 4.733
angles: 90.00 90.00 90.00
Fractional positions:
In  0.000  0.000  0.000
P  0.500  0.500  0.000
W  0.500  0.500  0.500
Cl  0.000  0.500  0.500
Cl  0.500  0.000  0.500

2.
In2PbCl: PBEsol geometry, meta-GGA SCAN.

abc: 6.397 6.397 6.397
angles: 148.87 129.53 60.50
Fractional positions:
In  0.000  0.000  0.000
In  0.753  0.253  0.500
Pb  0.252  0.752  0.500
Cl  0.511  0.511  0.000

3.
In2Pb2Cl: PBEsol geometry, meta-GGA SCAN.

abc: 8.884 8.884 8.884
angles: 153.36 153.36 38.03
Fractional positions:
In  0.250  0.750  0.500
In  0.750  0.250  0.500
Pb  0.100  0.100  0.000
Pb  0.900  0.900  0.000
Cl  0.500  0.500  0.000

4.
InPbS2Cl: PBEsol geometry, meta-GGA SCAN.

abc: 4.998 4.998 4.925
angles: 90.00 90.00 90.00
Fractional positions:
In  0.000  0.000  0.000
Pb  0.500  0.500  0.500
S  0.000  0.500  0.000
S  0.500  0.000  0.000
Cl  0.000  0.000  0.500

- Relative energy among the computed polymorphs: 0 meV per atom

5.
InPbS2Cl: PBEsol geometry, meta-GGA SCAN.

abc: 5.105 5.105 5.367
angles: 90.00 90.00 90.00
Fractional positions:
In  0.000  0.000  0.000
Pb  0.500  0.500  0.500
S  0.000  0.500  0.500
S  0.500  0.000  0.500
Cl  0.500  0.500  0.000

- Relative energy among the computed polymorphs: 335 meV per atom

6.
InPb2SeCl: PBEsol geometry, meta-GGA SCAN.

abc: 5.679 5.679 4.983
angles: 90.00 90.00 90.00
Fractional positions:
In  0.000  0.000  0.000
Pb  0.000  0.500  0.500
Pb  0.500  0.000  0.500
Se  0.500  0.500  0.500
Cl  0.500  0.500  0.000

7.
InPdCl2: PBEsol geometry, meta-GGA SCAN.

abc: 3.755 3.755 6.787
angles: 96.64 96.64 71.58
Fractional positions:
In  0.000  0.000  0.000
Pd  0.000  0.000  0.500
Cl  0.358  0.358  0.696
Cl  0.642  0.642  0.304

8.
InTePdCl2: PBEsol geometry, meta-GGA SCAN.

abc: 5.419 5.419 4.945
angles: 90.00 90.00 90.00
Fractional positions:
In  0.000  0.000  0.000
Te  0.500  0.500  0.500
Pd  0.500  0.500  0.000
Cl  0.000  0.500  0.500
Cl  0.500  0.000  0.500

9.
InPt3Cl: PBEsol geometry, meta-GGA SCAN.

abc: 4.552 4.552 4.552
angles: 90.00 90.00 90.00
Fractional positions:
In  0.000  0.000  0.000
Pt  0.000  0.500  0.500
Pt  0.500  0.000  0.500
Pt  0.500  0.500  0.000
Cl  0.500  0.500  0.500

10.
In2PtCl: PBEsol geometry, meta-GGA SCAN.

abc: 3.696 3.696 7.610
angles: 99.32 99.32 62.91
Fractional positions:
In  0.205  0.205  0.209
In  0.795  0.795  0.791
Pt  0.500  0.500  0.000
Cl  0.000  0.000  0.500

- Relative energy among the computed polymorphs: 0 meV per atom

11.
In2PtCl: PBEsol geometry, meta-GGA SCAN.

abc: 6.533 6.533 6.533
angles: 145.57 145.57 49.48
Fractional positions:
In  0.000  0.000  0.000
In  0.750  0.250  0.500
Pt  0.500  0.500  0.000
Cl  0.250  0.750  0.500

- Relative energy among the computed polymorphs: 413 meV per atom

12.
RbInCl2: PBEsol geometry, meta-GGA SCAN.

abc: 5.387 5.387 5.387
angles: 60.00 60.00 60.00
Fractional positions:
Rb  0.000  0.000  0.000
In  0.500  0.500  0.500
Cl  0.250  0.250  0.250
Cl  0.750  0.750  0.750

- Relative energy among the computed polymorphs: 0 meV per atom

13.
Rb2InCl: PBEsol geometry, meta-GGA SCAN.

abc: 6.050 6.050 6.050
angles: 60.00 60.00 60.00
Fractional positions:
Rb  0.250  0.250  0.250
Rb  0.750  0.750  0.750
In  0.000  0.000  0.000
Cl  0.500  0.500  0.500

14.
Rb3InCl6: PBEsol geometry, meta-GGA SCAN.

abc: 7.801 7.801 7.801
angles: 60.00 60.00 60.00
Fractional positions:
Rb  0.000  0.000  0.000
Rb  0.250  0.250  0.250
Rb  0.750  0.750  0.750
In  0.500  0.500  0.500
Cl  0.273  0.273  0.727
Cl  0.273  0.727  0.273
Cl  0.273  0.727  0.727
Cl  0.727  0.273  0.273
Cl  0.727  0.273  0.727
Cl  0.727  0.727  0.273

15.
RbInCl2: PBEsol geometry, meta-GGA SCAN.

abc: 8.925 8.925 8.925
angles: 134.45 134.45 66.39
Fractional positions:
Rb  0.000  0.000  0.000
Rb  0.750  0.250  0.500
In  0.250  0.750  0.500
In  0.500  0.500  0.000
Cl  0.146  0.625  0.021
Cl  0.375  0.396  0.521
Cl  0.604  0.125  0.979
Cl  0.875  0.854  0.479

- Relative energy among the computed polymorphs: 114 meV per atom

16.
InReCl2: PBEsol geometry, meta-GGA SCAN.

abc: 3.236 3.236 9.126
angles: 90.00 90.00 122.61
Fractional positions:
In  0.000  0.000  0.000
Re  0.500  0.500  0.244
Cl  0.000  0.000  0.435
Cl  0.500  0.500  0.779

- Relative energy among the computed polymorphs: 0 meV per atom

17.
InReCl2: PBEsol geometry, meta-GGA SCAN.

abc: 4.695 4.695 4.695
angles: 60.00 60.00 60.00
Fractional positions:
In  0.000  0.000  0.000
Re  0.500  0.500  0.500
Cl  0.250  0.250  0.250
Cl  0.750  0.750  0.750

- Relative energy among the computed polymorphs: 871 meV per atom

18.
InReCl2: PBEsol geometry, meta-GGA SCAN.

abc: 2.933 4.513 5.401
angles: 90.00 90.00 90.00
Fractional positions:
In  0.000  0.000  0.000
Re  0.500  0.000  0.500
Cl  0.000  0.500  0.500
Cl  0.500  0.500  0.000

- Relative energy among the computed polymorphs: 423 meV per atom

19.
InReCl: PBEsol geometry, meta-GGA SCAN.

abc: 4.490 4.490 4.490
angles: 60.00 60.00 60.00
Fractional positions:
In  0.000  0.000  0.000
Re  0.250  0.250  0.250
Cl  0.500  0.500  0.500

20.
InRe2Cl: PBEsol geometry, meta-GGA SCAN.

abc: 3.092 4.944 4.575
angles: 90.00 92.66 90.00
Fractional positions:
In  0.000  0.000  0.000
Re  0.310  0.500  0.226
Re  0.690  0.500  0.774
Cl  0.500  0.000  0.500

Number 1: total DFT energy (no corrections) -25.861 eV per atom. Number 2: total DFT energy (no corrections) -37.897 eV per atom. Number 3: total DFT energy (no corrections) -45.460 eV per atom. Number 4: total DFT energy (no corrections) -27.723 eV per atom. Number 5: total DFT energy (no corrections) -27.388 eV per atom. Number 6: total DFT energy (no corrections) -42.442 eV per atom. Number 7: total DFT energy (no corrections) -20.943 eV per atom. Number 8: total DFT energy (no corrections) -24.052 eV per atom. Number 9: total DFT energy (no corrections) -49.490 eV per atom. Number 10: total DFT energy (no corrections) -36.820 eV per atom. Number 11: total DFT energy (no corrections) -36.408 eV per atom. Number 12: total DFT energy (no corrections) -18.998 eV per atom. Number 13: total DFT energy (no corrections) -21.327 eV per atom. Number 14: total DFT energy (no corrections) -16.163 eV per atom. Number 15: total DFT energy (no corrections) -18.884 eV per atom. Number 16: total DFT energy (no corrections) -29.951 eV per atom. Number 17: total DFT energy (no corrections) -29.080 eV per atom. Number 18: total DFT energy (no corrections) -29.528 eV per atom. Number 19: total DFT energy (no corrections) -36.251 eV per atom. Number 20: total DFT energy (no corrections) -44.945 eV per atom.